Compound: AlTlN3
Source: Alexandria
Functional: GGA-PBE
Structure: relaxed

a b c (Å): 3.8839 3.8839 3.8839
angles (deg): 90.00 90.00 90.00
Space group Pm-3m (No. 221)
Symmetry-distinct sites (fractional):
Al (0.0000, 0.0000, 0.0000) (multiplicity 1)
Tl (0.5000, 0.5000, 0.5000) (multiplicity 1)
N (0.0000, 0.0000, 0.5000) (multiplicity 3)

Calculated values
- Electronic total energy: -5.158 eV per atom

***

Compound: Li2Ac3GeO8
Source: Alexandria
Functional: GGA-PBE
Structure: relaxed

a b c (Å): 5.5778 5.5778 7.0496
angles (deg): 90.00 90.00 120.00
Space group P-3m1 (No. 164)
Symmetry-distinct sites (fractional):
Li (0.3333, 0.6667, 0.2100) (multiplicity 2)
Ac (0.0000, 0.0000, 0.0000) (multiplicity 1)
Ac (0.3333, 0.6667, 0.6387) (multiplicity 2)
Ge (0.0000, 0.0000, 0.5000) (multiplicity 1)
O (0.1582, 0.3164, 0.3354) (multiplicity 6)
O (0.3333, 0.6667, 0.9541) (multiplicity 2)

Calculated values
- Electronic total energy: -6.794 eV per atom

***

Compound: La2GaSnO
Source: Alexandria
Functional: GGA-PBE
Structure: relaxed

a b c (Å): 5.1496 5.1496 4.8629
angles (deg): 90.00 90.00 90.00
Space group P4/mmm (No. 123)
Symmetry-distinct sites (fractional):
La (0.0000, 0.5000, 0.0000) (multiplicity 2)
Ga (0.0000, 0.0000, 0.5000) (multiplicity 1)
Sn (0.5000, 0.5000, 0.5000) (multiplicity 1)
O (0.5000, 0.5000, 0.0000) (multiplicity 1)

Calculated values
- Electronic total energy: -5.574 eV per atom

***

Compound: Cs2LiBi2
Source: Alexandria
Functional: GGA-PBE
Structure: relaxed

a b c (Å): 12.6681 7.5238 9.9654
angles (deg): 90.00 98.27 90.00
Space group C2/c (No. 15)
Symmetry-distinct sites (fractional):
Cs (0.1615, 0.1034, 0.1679) (multiplicity 8)
Li (0.0000, 0.4620, 0.7500) (multiplicity 4)
Bi (0.0985, 0.3833, 0.5105) (multiplicity 8)

Calculated values
- Distance to the lowest polymorph of the same formula: 0 meV per atom

***

Compound: Li2ScPtO4
Source: Alexandria
Functional: GGA-PBE
Structure: relaxed

a b c (Å): 5.4051 3.0997 5.4620
angles (deg): 90.00 112.58 90.00
Space group P2/m (No. 10)
Symmetry-distinct sites (fractional):
Li (0.0000, 0.0000, 0.0000) (multiplicity 1)
Li (0.5000, 0.5000, 0.0000) (multiplicity 1)
Sc (0.0000, 0.5000, 0.5000) (multiplicity 1)
Pt (0.5000, 0.0000, 0.5000) (multiplicity 1)
O (0.2154, 0.0000, 0.7573) (multiplicity 2)
O (0.2645, 0.5000, 0.2775) (multiplicity 2)

Calculated values
- Electronic total energy: -6.387 eV per atom

***

Compound: TbDy2ErS6
Source: Alexandria
Functional: GGA-PBE
Structure: relaxed

a b c (Å): 6.9037 6.9037 18.4942
angles (deg): 90.00 90.00 120.00
Space group R3 (No. 146, hexagonal axes)
Symmetry-distinct sites (fractional):
Tb (0.0000, 0.0000, 0.0000) (multiplicity 3)
Dy (0.0000, 0.0000, 0.2978) (multiplicity 3)
Dy (0.0000, 0.0000, 0.7987) (multiplicity 3)
Er (0.0000, 0.0000, 0.4986) (multiplicity 3)
S (0.0013, 0.2996, 0.3993) (multiplicity 9)
S (0.0326, 0.6701, 0.5654) (multiplicity 9)

Calculated values
- Electronic total energy: -6.378 eV per atom

***

Compound: KLiTeS3
Source: Alexandria
Functional: GGA-PBE
Structure: relaxed

a b c (Å): 3.9666 14.1937 10.3081
angles (deg): 90.00 90.00 90.00
Space group Cmcm (No. 63)
Symmetry-distinct sites (fractional):
K (0.0000, 0.2365, 0.2500) (multiplicity 4)
Li (0.0000, 0.0384, 0.7500) (multiplicity 4)
Te (0.0000, 0.5000, 0.0000) (multiplicity 4)
S (0.0000, 0.1246, 0.5485) (multiplicity 8)
S (0.0000, 0.4419, 0.7500) (multiplicity 4)

Calculated values
- Electronic total energy: -3.750 eV per atom

***

Compound: LaY6Er2Tm
Source: Alexandria
Functional: GGA-PBE
Structure: relaxed

a b c (Å): 9.2810 15.0238 9.4061
angles (deg): 90.00 94.99 90.00
Space group C2/c (No. 15)
Symmetry-distinct sites (fractional):
La (0.0000, 0.0343, 0.2500) (multiplicity 4)
Y (0.0595, 0.1802, 0.9423) (multiplicity 8)
Y (0.0950, 0.3858, 0.1102) (multiplicity 8)
Y (0.2205, 0.2254, 0.3177) (multiplicity 8)
Er (0.2452, 0.4481, 0.4452) (multiplicity 8)
Tm (0.0000, 0.4135, 0.7500) (multiplicity 4)

Calculated values
- Electronic total energy: -5.611 eV per atom